Mg7CdPb12 | GGA-PBE | relaxed

Properties
Total magnetic moment in μB per atom: 0.000
E_form in eV per atom: 0.01
SG: R-3
Total DFT energy (no corrections) in eV/cell: -56.47
V in Å³ per atom: 28.161

a = 8.8481 Å, b = 8.8481 Å, c = 8.8481 Å
α = 107.84°, β = 107.84°, γ = 107.84°
With the nearest neighbours (Å) after each atom.
Atoms (fractional coordinates):
1 Cd 0.0000 0.0000 0.0000  6 Mg 3.08, 6 Pb 3.40
2 Pb 0.5412 0.3665 0.8121  3 Mg 3.08-3.35, 2 Pb 3.32-3.44
3 Pb 0.8499 0.9819 0.3079  3 Mg 3.12-3.33, 5 Pb 3.32-3.49, 1 Cd 3.40
4 Pb 0.3079 0.8499 0.9819  3 Mg 3.12-3.33, 5 Pb 3.32-3.49, 1 Cd 3.40
5 Pb 0.1879 0.4588 0.6335  3 Mg 3.08-3.35, 2 Pb 3.32-3.44
6 Pb 0.6335 0.1879 0.4588  3 Mg 3.08-3.35, 2 Pb 3.32-3.44
7 Pb 0.3665 0.8121 0.5412  3 Mg 3.08-3.35, 2 Pb 3.32-3.44
8 Pb 0.4588 0.6335 0.1879  3 Mg 3.08-3.35, 2 Pb 3.32-3.44
9 Pb 0.1501 0.0181 0.6921  3 Mg 3.12-3.33, 5 Pb 3.32-3.49, 1 Cd 3.40
10 Pb 0.6921 0.1501 0.0181  3 Mg 3.12-3.33, 5 Pb 3.32-3.49, 1 Cd 3.40
11 Pb 0.9819 0.3079 0.8499  3 Mg 3.12-3.33, 5 Pb 3.32-3.49, 1 Cd 3.40
12 Pb 0.0181 0.6921 0.1501  3 Mg 3.12-3.33, 5 Pb 3.32-3.49, 1 Cd 3.40
13 Pb 0.8121 0.5412 0.3665  3 Mg 3.08-3.35, 2 Pb 3.32-3.44
14 Mg 0.7517 0.8893 0.6135  5 Pb 3.08-3.35, 1 Cd 3.08, 3 Mg 3.11-3.42
15 Mg 0.6135 0.7517 0.8893  5 Pb 3.08-3.35, 1 Cd 3.08, 3 Mg 3.11-3.42
16 Mg 0.1107 0.3865 0.2483  5 Pb 3.08-3.35, 1 Cd 3.08, 3 Mg 3.11-3.42
17 Mg 0.5000 0.5000 0.5000  6 Mg 3.11, 6 Pb 3.29
18 Mg 0.3865 0.2483 0.1107  5 Pb 3.08-3.35, 1 Cd 3.08, 3 Mg 3.11-3.42
19 Mg 0.8893 0.6135 0.7517  5 Pb 3.08-3.35, 1 Cd 3.08, 3 Mg 3.11-3.42
20 Mg 0.2483 0.1107 0.3865  5 Pb 3.08-3.35, 1 Cd 3.08, 3 Mg 3.11-3.42

=====

TaSbW2 | GGA-PBE | relaxed

Properties
Total magnetic moment in μB per atom: 0.000
SG: I-4m2
Total DFT energy (no corrections) in eV/cell: -40.21
Formation energy from raw total energies in eV per atom: 0.42
V in Å³ per atom: 17.651

a = 5.1413 Å, b = 5.1413 Å, c = 5.1413 Å
α = 133.35°, β = 133.35°, γ = 68.10°
With the nearest neighbours (Å) after each atom.
Atoms (fractional coordinates):
1 Sb 0.5000 0.5000 0.0000  8 W 2.88-2.95, 4 Ta 2.95
2 W 0.0000 0.0000 0.0000  4 Sb 2.88, 4 W 2.95, 4 Ta 2.95
3 W 0.2500 0.7500 0.5000  4 Ta 2.88, 4 Sb 2.95, 4 W 2.95
4 Ta 0.7500 0.2500 0.5000  8 W 2.88-2.95, 4 Sb 2.95

=====

AcPr3HoTm | GGA-PBE | relaxed

Properties
Total magnetic moment in μB per atom: 0.000
E_form in eV per atom: 0.04
SG: P2_1/m
Total DFT energy (no corrections) in eV/cell: -54.48
V in Å³ per atom: 35.698

a = 5.2510 Å, b = 8.2184 Å, c = 11.0455 Å
α = 116.01°, β = 90.00°, γ = 90.00°
With the nearest neighbours (Å) after each atom.
Atoms (fractional coordinates):
1 Ho 0.2500 0.6199 0.1230  7 Pr 3.59-3.66, 2 Ho 3.67, 1 Ac 3.69, 2 Tm 3.70
2 Ho 0.7500 0.3801 0.8770  7 Pr 3.59-3.66, 2 Ho 3.67, 1 Ac 3.69, 2 Tm 3.70
3 Tm 0.7500 0.8695 0.3719  5 Pr 3.61-3.72, 3 Ac 3.66, 2 Ho 3.70, 2 Tm 3.77
4 Tm 0.2500 0.1305 0.6281  5 Pr 3.61-3.72, 3 Ac 3.66, 2 Ho 3.70, 2 Tm 3.77
5 Pr 0.7500 0.3733 0.5472  1 Ho 3.62, 3 Tm 3.64-3.72, 5 Pr 3.68-3.79, 3 Ac 3.74-3.75
6 Pr 0.2500 0.6267 0.4528  1 Ho 3.62, 3 Tm 3.64-3.72, 5 Pr 3.68-3.79, 3 Ac 3.74-3.75
7 Pr 0.2500 0.6186 0.7936  1 Tm 3.61, 3 Ho 3.63, 6 Pr 3.68-3.81, 2 Ac 3.78
8 Pr 0.2500 0.1344 0.9598  3 Ho 3.59-3.66, 1 Tm 3.65, 5 Pr 3.69-3.81, 3 Ac 3.74
9 Pr 0.7500 0.8656 0.0402  3 Ho 3.59-3.66, 1 Tm 3.65, 5 Pr 3.69-3.81, 3 Ac 3.74
10 Pr 0.7500 0.3814 0.2064  1 Tm 3.61, 3 Ho 3.63, 6 Pr 3.68-3.81, 2 Ac 3.78
11 Ac 0.2500 0.1197 0.2935  3 Tm 3.66, 1 Ho 3.69, 8 Pr 3.74-3.78
12 Ac 0.7500 0.8803 0.7065  3 Tm 3.66, 1 Ho 3.69, 8 Pr 3.74-3.78

=====

Calculated density (g/cm³), listed in the same order as above: 8.2 15.8 7.6